# 1
The following is a PBE calculation of an optimized crystal structure of Tc2GeSb, from Alexandria via LeMat-Bulk.

abc: 4.481 4.481 3.182
angles: 90.00 90.00 90.00
Fractional coordinates of all 4 atoms:
1 Tc 0.000 0.500 0.000
2 Tc 0.500 0.000 0.000
3 Ge 0.000 0.000 0.500
4 Sb 0.500 0.500 0.500

Energy above the lowest structure with this stoichiometry (meV/atom): 15
Volume (Å³/cell): 63.91
Symmetry: P4/mmm (123)
ΔE_f (raw) (eV per formula unit): 0.26



# 2
The following is a PBE calculation of an optimized crystal structure of TcGe2Sb, from Alexandria via LeMat-Bulk.

abc: 3.163 3.163 7.431
angles: 90.00 90.00 90.00
Fractional coordinates of all 4 atoms:
1 Tc 0.000 0.000 0.000
2 Ge 0.500 0.500 0.190
3 Ge 0.500 0.500 0.810
4 Sb 0.000 0.000 0.500

Volume (Å³/cell): 74.33
Symmetry: P4/mmm (123)
ΔE_f (raw) (eV per formula unit): 0.45



# 3
The following is a PBE calculation of an optimized crystal structure of Tc2GeSb, from Alexandria via LeMat-Bulk.

abc: 4.483 4.483 4.483
angles: 60.00 60.00 60.00
Fractional coordinates of all 4 atoms:
1 Tc 0.250 0.250 0.250
2 Tc 0.750 0.750 0.750
3 Ge 0.000 0.000 0.000
4 Sb 0.500 0.500 0.500

Energy above the lowest structure with this stoichiometry (meV/atom): 0
Volume (Å³/cell): 63.71
Symmetry: Fm-3m (225)
ΔE_f (raw) (eV per formula unit): 0.20



# 4
The following is a PBE calculation of an optimized crystal structure of TcGeSb, from Alexandria via LeMat-Bulk.

abc: 3.191 3.191 5.817
angles: 90.00 90.00 90.00
Fractional coordinates of all 3 atoms:
1 Tc 0.000 0.000 0.000
2 Ge 0.500 0.500 0.764
3 Sb 0.500 0.500 0.287

Energy above the lowest structure with this stoichiometry (meV/atom): 0
Volume (Å³/cell): 59.23
Symmetry: P4mm (99)
ΔE_f (raw) (eV per formula unit): 0.07



# 5
The following is a PBE calculation of an optimized crystal structure of TcGeSb2Te, from Alexandria via LeMat-Bulk.

abc: 5.041 5.041 5.591
angles: 90.00 90.00 90.00
Fractional coordinates of all 5 atoms:
1 Tc 0.000 0.000 0.000
2 Ge 0.500 0.500 0.500
3 Sb 0.000 0.500 0.000
4 Sb 0.500 0.000 0.000
5 Te 0.000 0.000 0.500

Energy above the lowest structure with this stoichiometry (meV/atom): 0
Volume (Å³/cell): 142.07
Symmetry: P4/mmm (123)
ΔE_f (raw) (eV per formula unit): 3.15



# 6
The following is a PBE calculation of an optimized crystal structure of TcGeSb2Te, from Alexandria via LeMat-Bulk.

abc: 5.294 5.294 5.307
angles: 90.00 90.00 90.00
Fractional coordinates of all 5 atoms:
1 Tc 0.000 0.000 0.000
2 Ge 0.500 0.500 0.500
3 Sb 0.000 0.500 0.500
4 Sb 0.500 0.000 0.500
5 Te 0.500 0.500 0.000

Energy above the lowest structure with this stoichiometry (meV/atom): 619
Volume (Å³/cell): 148.74
Symmetry: P4/mmm (123)
ΔE_f (raw) (eV per formula unit): 6.25